DFT (PBE) results for a relaxed Rb2ZrAlTe4 crystal.

The space group is Fddd (No. 70, origin choice 2) and the conventional cell measures 7.090, 14.884 and 26.525 Å, with angles of 90.00, 90.00 and 90.00 degrees. The distinct sites, in fractional coordinates, are Rb at (0.125, 0.125, 0.306), Zr at (0.125, 0.125, 0.125), Al at (0.125, 0.125, 0.625) and Te at (0.115, 0.274, 0.821).

The value obtained for the uncorrected formation energy is -6.2 eV/f.u. Its size of the total moment is 0.003 μB/f.u. The calculation puts the volume at 43.74 Å³ per atom. The mass density comes out at 3.79 g/cm³.